(1)
! SnTe2PdI, relaxed, DFT PBE; values from VASP
! SG	P4/mmm (123)
! raw total energy	-3.299	eV per atom
&SYSTEM
  ibrav = 0, nat = 5, ntyp = 4
/
ATOMIC_SPECIES
I 126.90 I.upf
Te 127.60 Te.upf
Sn 118.71 Sn.upf
Pd 106.42 Pd.upf
ATOMIC_POSITIONS crystal
I 0.000 0.000 0.500
Te 0.000 0.500 0.000
Te 0.500 0.000 0.000
Sn 0.500 0.500 0.500
Pd 0.000 0.000 0.000
CELL_PARAMETERS angstrom
5.328 0.000 0.000
0.000 5.328 0.000
0.000 0.000 5.480

=====

(2)
! SnTePdI2, relaxed, DFT PBE; values from VASP
! SG	P4/mmm (123)
! raw total energy	-3.042	eV per atom
&SYSTEM
  ibrav = 0, nat = 5, ntyp = 4
/
ATOMIC_SPECIES
I 126.90 I.upf
Te 127.60 Te.upf
Sn 118.71 Sn.upf
Pd 106.42 Pd.upf
ATOMIC_POSITIONS crystal
I 0.000 0.500 0.000
I 0.500 0.000 0.000
Te 0.000 0.000 0.500
Sn 0.500 0.500 0.500
Pd 0.000 0.000 0.000
CELL_PARAMETERS angstrom
-2.267 -3.156 -3.772
4.904 -1.133 -1.999
0.380 -4.300 3.370

=====

(3)
! Tl2SnPdI, relaxed, DFT PBE; values from VASP
! SG	P4/mmm (123)
! raw total energy	-2.949	eV per atom
&SYSTEM
  ibrav = 0, nat = 5, ntyp = 4
/
ATOMIC_SPECIES
I 126.90 I.upf
Tl 204.38 Tl.upf
Sn 118.71 Sn.upf
Pd 106.42 Pd.upf
ATOMIC_POSITIONS crystal
I 0.000 0.000 0.500
Tl 0.000 0.500 0.000
Tl 0.500 0.000 0.000
Sn 0.500 0.500 0.500
Pd 0.000 0.000 0.000
CELL_PARAMETERS angstrom
-4.746 -2.479 -0.719
1.583 -1.608 -4.908
2.107 -4.675 2.212

=====

(4)
! Tl2SnPdI6, relaxed, DFT PBE; values from VASP
! SG	P2_1/c (14)
! raw total energy	-2.744	eV per atom
&SYSTEM
  ibrav = 0, nat = 20, ntyp = 4
/
ATOMIC_SPECIES
Tl 204.38 Tl.upf
Sn 118.71 Sn.upf
Pd 106.42 Pd.upf
I 126.90 I.upf
ATOMIC_POSITIONS crystal
Tl 0.030 0.914 0.245
Tl 0.530 0.586 0.745
Tl 0.970 0.086 0.755
Tl 0.470 0.414 0.255
Sn 0.500 0.000 0.000
Sn 0.000 0.500 0.500
Pd 0.500 0.000 0.500
Pd 0.000 0.500 0.000
I 0.293 0.686 0.040
I 0.793 0.814 0.540
I 0.707 0.314 0.960
I 0.207 0.186 0.460
I 0.313 0.712 0.461
I 0.813 0.788 0.961
I 0.687 0.288 0.539
I 0.187 0.212 0.039
I 0.919 0.507 0.240
I 0.419 0.993 0.740
I 0.081 0.493 0.760
I 0.581 0.007 0.260
CELL_PARAMETERS angstrom
7.880 0.000 -0.059
0.000 8.360 0.000
-0.015 0.000 11.592

=====

> Which formula does entry 2 have?

SnTePdI2